Record 1
## CeThPdRu (GGA-PBE)

Data for an optimized crystal structure of CeThPdRu.

```
data_CeThPdRu
_chemical_formula_sum 'Ce4 Th4 Pd4 Ru4'
_cell_length_a 7.0960
_cell_length_b 7.0960
_cell_length_c 7.0960
_cell_angle_alpha 90.00
_cell_angle_beta 90.00
_cell_angle_gamma 90.00
_symmetry_space_group_name_H-M 'F -4 3 m'
_symmetry_Int_Tables_number 216
_symmetry_space_group_name_Hall 'F -4 2 3'
loop_
_atom_site_label
_atom_site_type_symbol
_atom_site_fract_x
_atom_site_fract_y
_atom_site_fract_z
Ce1 Ce 0.0000 0.0000 0.0000
Th1 Th 0.0000 0.0000 0.5000
Pd1 Pd 0.2500 0.2500 0.2500
Ru1 Ru 0.2500 0.2500 0.7500
```

---

Record 2
## CaNiOs3 (GGA-PBE)

Data for an optimized crystal structure of CaNiOs3.

```
data_CaNiOs3
_chemical_formula_sum 'Ca1 Ni1 Os3'
_cell_length_a 4.5945
_cell_length_b 4.5945
_cell_length_c 4.5945
_cell_angle_alpha 90.00
_cell_angle_beta 90.00
_cell_angle_gamma 90.00
_symmetry_space_group_name_H-M 'P m -3 m'
_symmetry_Int_Tables_number 221
_symmetry_space_group_name_Hall '-P 4 2 3'
loop_
_atom_site_label
_atom_site_type_symbol
_atom_site_fract_x
_atom_site_fract_y
_atom_site_fract_z
Ca1 Ca 0.0000 0.0000 0.0000
Ni1 Ni 0.5000 0.5000 0.5000
Os1 Os 0.0000 0.0000 0.5000
```

Calculated values
The calculation puts the excess energy over the best structure of this formula in the dataset at 9.77 eV per formula unit.

---

Number 1: formation energy from the elements -1.9 eV/f.u.. Number 2: formation energy from the elements 17.0 eV/f.u..